1.
Sr2HgSb | GGA-PBEsol | relaxed

Results
Formation energy from raw total energies, eV per formula unit: -3.38
SG: Amm2

a b c (Å): 4.609 4.721 6.430
angles (deg): 90.00 111.00 90.00
Fractional coordinates of all 4 atoms:
1 Hg 0.538 0.000 0.076
2 Sr 0.991 0.500 0.982
3 Sb 0.707 0.500 0.415
4 Sr 0.264 0.000 0.527

=====

2.
SrTa2Ag | GGA-PBEsol | relaxed

Results
SG: F-43m
Formation energy from the elements, meV/atom: 846.2

a b c (Å): 4.865 4.865 4.865
angles (deg): 60.00 60.00 60.00
Fractional coordinates of all 4 atoms:
1 Ag 0.500 0.500 0.500
2 Ta 0.000 0.000 0.000
3 Sr 0.250 0.250 0.250
4 Ta 0.750 0.750 0.750

=====

3.
Ba2Ag2Pb | GGA-PBEsol | relaxed

Results
SG: P4/mbm
Formation energy from the elements, meV/atom: -295.6

a b c (Å): 4.406 8.443 8.443
angles (deg): 90.00 90.00 90.00
Fractional coordinates of all 10 atoms:
1 Ba 0.500 0.816 0.316
2 Pb 0.000 0.500 0.500
3 Ag 0.000 0.885 0.615
4 Ba 0.500 0.316 0.184
5 Ag 0.000 0.615 0.115
6 Ag 0.000 0.115 0.385
7 Ba 0.500 0.684 0.816
8 Pb 0.000 0.000 0.000
9 Ba 0.500 0.184 0.684
10 Ag 0.000 0.385 0.885

=====

4.
Cr2TcAu2 | GGA-PBEsol | relaxed

Results
SG: I4/mmm
Formation energy from the elements, meV/atom: 674.0

a b c (Å): 3.701 3.701 6.207
angles (deg): 107.35 107.35 90.00
Each line ends with the local moment (μB).
Fractional coordinates of all 5 atoms:
1 Cr 0.582 0.582 0.164  -0.08
2 Tc 0.000 0.000 0.000  1.04
3 Au 0.250 0.750 0.500  0.00
4 Cr 0.418 0.418 0.836  -0.08
5 Au 0.750 0.250 0.500  0.00

=====

5.
PO2 | GGA-PBEsol | relaxed

Results
Formation energy from raw total energies, eV per formula unit: -4.57
SG: C2/c

a b c (Å): 4.196 4.706 5.800
angles (deg): 101.08 111.20 90.00
Fractional coordinates of all 12 atoms:
1 O 0.685 0.458 0.187
2 O 0.156 0.186 0.403
3 P 0.500 0.000 0.500
4 O 0.315 0.542 0.813
5 P 0.000 0.500 0.500
6 O 0.501 0.958 0.187
7 O 0.499 0.042 0.813
8 P 0.685 0.750 0.000
9 O 0.844 0.814 0.597
10 O 0.247 0.686 0.403
11 O 0.753 0.314 0.597
12 P 0.315 0.250 0.000

=====

6.
TaBeW4 | GGA-PBEsol | relaxed

Results
SG: F-43m
Formation energy from the elements, meV/atom: 509.6

a b c (Å): 5.191 5.191 5.191
angles (deg): 60.00 60.00 60.00
Fractional coordinates of all 6 atoms:
1 W 0.376 0.376 0.376
2 Ta 0.000 0.000 0.000
3 W 0.873 0.376 0.376
4 Be 0.750 0.750 0.750
5 W 0.376 0.873 0.376
6 W 0.376 0.376 0.873